[1]
A plane-wave DFT calculation with PBE was carried out for crystalline CsLaHW2 at its relaxed geometry.

POSCAR file:
```
CsLaHW2
1.0
5.446 0.000 0.000
0.000 5.446 0.000
0.000 0.000 3.784
Cs La H W
1 1 1 2
direct
0.000 0.000 0.000
0.500 0.500 0.500
0.000 0.000 0.500
0.000 0.500 0.000
0.500 0.000 0.000
```

Properties
* mass density: 9.477 g/cm3
* E_tot: -21.950 eV per cell
* V: 112 Å³ per cell



[2]
A plane-wave DFT calculation with PBE was carried out for crystalline CsLiH at its relaxed geometry.

POSCAR file:
```
CsLiH
1.0
-2.993 5.934 2.801
2.993 -5.934 2.801
2.993 5.934 -2.801
Cs Li H
2 2 2
direct
0.190 0.000 0.190
0.810 0.000 0.810
0.239 0.739 0.500
0.785 0.285 0.500
0.129 0.512 0.617
0.896 0.512 0.383
```

Properties
* mass density: 2.351 g/cm3
* E_tot: -12.763 eV per cell
* V: 199 Å³ per cell